# 1
# LaTm4Th2

A relaxed LaTm4Th2 crystal (PBE-GGA, Alexandria via LeMat-Bulk).

For the formation energy from the elements, the calculation gives 12.8 kJ/mol of atoms. For the spin magnetization, the calculation gives 0.0 μB/f.u. As for the volume: 32.30 A^3/atom. The crystal system is triclinic.

Unit cell a=3.4634 b=8.6315 c=8.6768 alpha=116.55 beta=90.10 gamma=101.57
Last column: nearest neighbours and their distance in Å.
Fractional coordinates of all 7 atoms:
La 0.0000 0.0000 0.0000  2 Th 3.33, 2 La 3.46, 6 Tm 3.48-3.71
Tm 0.0862 0.1642 0.6985  5 Tm 3.29-3.53, 3 Th 3.44-3.47, 1 La 3.48
Tm 0.3567 0.7158 0.5869  8 Tm 3.46-3.88, 3 Th 3.51-3.64, 2 La 3.71
Tm 0.6433 0.2842 0.4131  8 Tm 3.46-3.88, 3 Th 3.51-3.64, 2 La 3.71
Tm 0.9138 0.8358 0.3015  5 Tm 3.29-3.53, 3 Th 3.44-3.47, 1 La 3.48
Th 0.2159 0.4373 0.1380  1 La 3.33, 6 Tm 3.44-3.64, 4 Th 3.46-3.50
Th 0.7841 0.5627 0.8620  1 La 3.33, 6 Tm 3.44-3.64, 4 Th 3.46-3.50

=====

# 2
# SbPRh2

A relaxed SbPRh2 crystal (PBE-GGA, Alexandria via LeMat-Bulk).

As for the excess energy over the best structure of this formula in the dataset: 10 kJ/mol of formula units. The value obtained for the formation energy from raw total energies is -9.707 kcal/mol of atoms. For the spin magnetization, the calculation gives 0.0 μB/f.u. As for the volume: 17.51 A^3/atom. The crystal system is trigonal.

Unit cell a=6.4057 b=6.4057 c=6.4057 alpha=33.17 beta=33.17 gamma=33.17
Last column: nearest neighbours and their distance in Å.
Fractional coordinates of all 4 atoms:
Sb 0.0000 0.0000 0.0000  6 Rh 2.94
P 0.5000 0.5000 0.5000  6 Rh 2.33
Rh 0.2205 0.2205 0.2205  3 P 2.33
Rh 0.7795 0.7795 0.7795  3 P 2.33

=====

# 3
# LaNi3

A relaxed LaNi3 crystal (PBE-GGA, Alexandria via LeMat-Bulk).

For the formation energy from the elements, the calculation gives -6.4 kJ/mol of atoms. For the spin magnetization, the calculation gives 0.0 μB/f.u. As for the volume: 18.66 A^3/atom. The crystal system is monoclinic.

Unit cell a=4.1129 b=4.0682 c=4.4974 alpha=90.00 beta=97.20 gamma=90.00
Last column: nearest neighbours and their distance in Å.
Fractional coordinates of all 4 atoms:
La 0.0000 0.0000 0.0000  10 Ni 2.85-3.16
Ni 0.4462 0.5000 0.7472  4 Ni 2.26-2.34
Ni 0.5000 0.0000 0.5000  4 Ni 2.34
Ni 0.5538 0.5000 0.2528  4 Ni 2.26-2.34

=====

# 4
# SiAsIr3

A relaxed SiAsIr3 crystal (PBE-GGA, Alexandria via LeMat-Bulk).

As for the excess energy over the best structure of this formula in the dataset: 0 kJ/mol of formula units. The value obtained for the formation energy from raw total energies is 17.995 kcal/mol of atoms. For the spin magnetization, the calculation gives 0.0 μB/f.u. As for the volume: 17.71 A^3/atom. The crystal system is cubic.

Unit cell a=4.4576 b=4.4576 c=4.4576 alpha=90.00 beta=90.00 gamma=90.00
Last column: nearest neighbours and their distance in Å.
Fractional coordinates of all 5 atoms:
Si 0.0000 0.0000 0.0000  6 Ir 2.23
As 0.5000 0.5000 0.5000  12 Ir 3.15
Ir 0.0000 0.0000 0.5000  2 Si 2.23
Ir 0.0000 0.5000 0.0000  2 Si 2.23
Ir 0.5000 0.0000 0.0000  2 Si 2.23